First-principles (PBE-GGA) data for a geometry-optimized LaTb4Tm7 structure, as listed in Alexandria.

Properties
The formation energy is 0.2749 eV per atom. As for the energy above the lowest structure with this stoichiometry: 197 meV/atom. The space group is No. 12.

abc: 6.7035 6.7035 12.5437
angles: 114.92 114.92 51.61
Atoms (fractional coordinates):
La1 0.0000 0.0000 0.0000
Tb1 0.2507 0.2507 0.6832
Tb2 0.3703 0.3703 0.2251
Tb3 0.6297 0.6297 0.7749
Tb4 0.7493 0.7493 0.3168
Tm1 0.0576 0.0576 0.3345
Tm2 0.2110 0.2110 0.9225
Tm3 0.3643 0.3643 0.4951
Tm4 0.5000 0.5000 0.0000
Tm5 0.6357 0.6357 0.5049
Tm6 0.7890 0.7890 0.0775
Tm7 0.9424 0.9424 0.6655

First-principles (PBE-GGA) data for a geometry-optimized La3Tb3Tm8 structure, as listed in Alexandria.

Properties
The formation energy is 0.1050 eV per atom. The space group is No. 71.

abc: 9.7109 9.7109 9.7109
angles: 146.27 112.87 77.28
Atoms (fractional coordinates):
La1 0.0000 0.0000 0.0000
La2 0.1871 0.6871 0.5000
La3 0.8129 0.3129 0.5000
Tb1 0.2029 0.5000 0.7029
Tb2 0.5000 0.5000 0.0000
Tb3 0.7971 0.5000 0.2971
Tm1 0.1190 0.2813 0.8377
Tm2 0.2398 0.8983 0.3415
Tm3 0.4432 0.1017 0.3415
Tm4 0.4435 0.2813 0.1623
Tm5 0.5565 0.7187 0.8377
Tm6 0.5568 0.8983 0.6585
Tm7 0.7602 0.1017 0.6585
Tm8 0.8810 0.7187 0.1623

First-principles (PBE-GGA) data for a geometry-optimized LaTb4Tm structure, as listed in Alexandria.

Properties
The formation energy is 0.6298 eV per atom. As for the energy above the lowest structure with this stoichiometry: 431 meV/atom. The space group is No. 123.

abc: 4.5366 4.5366 11.1668
angles: 90.00 90.00 90.00
Atoms (fractional coordinates):
La1 0.0000 0.0000 0.0000
Tb1 0.0000 0.5000 0.2589
Tb2 0.0000 0.5000 0.7411
Tb3 0.5000 0.0000 0.2589
Tb4 0.5000 0.0000 0.7411
Tm1 0.5000 0.5000 0.5000

First-principles (PBE-GGA) data for a geometry-optimized LaTbTm5 structure, as listed in Alexandria.

Properties
The formation energy is 0.1769 eV per atom. As for the energy above the lowest structure with this stoichiometry: 0 meV/atom. The space group is No. 74.

abc: 8.7962 8.7962 8.7962
angles: 132.82 98.92 99.50
Atoms (fractional coordinates):
La1 0.5000 0.0000 0.0000
La2 0.5000 0.5000 0.5000
Tb1 0.2071 0.4571 0.7500
Tb2 0.7929 0.5429 0.2500
Tm1 0.0000 0.2498 0.2498
Tm2 0.0000 0.7502 0.7502
Tm3 0.2085 0.9585 0.2500
Tm4 0.2141 0.2497 0.9643
Tm5 0.2146 0.7503 0.4643
Tm6 0.5000 0.2498 0.7498
Tm7 0.5000 0.7502 0.2502
Tm8 0.7854 0.2497 0.5357
Tm9 0.7859 0.7503 0.0357
Tm10 0.7915 0.0415 0.7500

First-principles (PBE-GGA) data for a geometry-optimized La6TbTm structure, as listed in Alexandria.

Properties
The formation energy is 0.0069 eV per atom. The space group is No. 123.

abc: 5.1969 5.1969 10.3896
angles: 90.00 90.00 90.00
Atoms (fractional coordinates):
La1 0.0000 0.0000 0.0000
La2 0.0000 0.0000 0.5000
La3 0.0000 0.5000 0.2494
La4 0.0000 0.5000 0.7506
La5 0.5000 0.0000 0.2494
La6 0.5000 0.0000 0.7506
Tb1 0.5000 0.5000 0.5000
Tm1 0.5000 0.5000 0.0000

First-principles (PBE-GGA) data for a geometry-optimized LaTb5Tm4 structure, as listed in Alexandria.

Properties
The formation energy is 0.3053 eV per atom. As for the energy above the lowest structure with this stoichiometry: 119 meV/atom. The space group is No. 79.

abc: 7.8504 7.8504 7.8504
angles: 99.25 99.25 132.72
Atoms (fractional coordinates):
La1 0.0000 0.0000 0.0000
Tb1 0.4577 0.4577 0.0000
Tb2 0.4894 0.8698 0.9086
Tb3 0.5808 0.4894 0.6197
Tb4 0.8698 0.9611 0.3803
Tb5 0.9611 0.5808 0.0914
Tm1 0.1785 0.8796 0.5967
Tm2 0.2829 0.5817 0.4033
Tm3 0.5817 0.1785 0.2989
Tm4 0.8796 0.2829 0.7011